No. 1
# Cd3Bi3Pb

Crystalline Cd3Bi3Pb at its relaxed geometry (GGA-PBE, the Alexandria database).

Properties
excess energy over the best structure of this formula in the dataset = 0 meV/atom
space group = R-3, No. 148

a b c (Å): 8.9642 8.9642 8.9642
angles (deg): 53.93 53.93 53.93
Closest atoms and distances in Å follow each position.
Fractional coordinates of all 14 atoms:
1 Cd 0.0183 0.6174 0.2527  4 Bi 3.07-3.14, 2 Cd 3.12
2 Cd 0.2527 0.0183 0.6174  4 Bi 3.07-3.14, 2 Cd 3.12
3 Cd 0.3826 0.7473 0.9817  4 Bi 3.07-3.14, 2 Cd 3.12
4 Cd 0.6174 0.2527 0.0183  4 Bi 3.07-3.14, 2 Cd 3.12
5 Cd 0.7473 0.9817 0.3826  4 Bi 3.07-3.14, 2 Cd 3.12
6 Cd 0.9817 0.3826 0.7473  4 Bi 3.07-3.14, 2 Cd 3.12
7 Bi 0.1525 0.7142 0.4264  4 Cd 3.07-3.14, 2 Pb 3.33-3.35
8 Bi 0.2858 0.5736 0.8475  4 Cd 3.07-3.14, 2 Pb 3.33-3.35
9 Bi 0.4264 0.1525 0.7142  4 Cd 3.07-3.14, 2 Pb 3.33-3.35
10 Bi 0.5736 0.8475 0.2858  4 Cd 3.07-3.14, 2 Pb 3.33-3.35
11 Bi 0.7142 0.4264 0.1525  4 Cd 3.07-3.14, 2 Pb 3.33-3.35
12 Bi 0.8475 0.2858 0.5736  4 Cd 3.07-3.14, 2 Pb 3.33-3.35
13 Pb 0.1679 0.1679 0.1679  6 Bi 3.33-3.35
14 Pb 0.8321 0.8321 0.8321  6 Bi 3.33-3.35

---

No. 2
# Ho2TmIr9

Crystalline Ho2TmIr9 at its relaxed geometry (GGA-PBE, the Alexandria database).

Properties
E = -100.39 eV for the cell shown
space group = R-3m, No. 166

a b c (Å): 9.2987 9.2987 9.2987
angles (deg): 33.04 33.04 33.04
Closest atoms and distances in Å follow each position.
Fractional coordinates of all 12 atoms:
1 Ho 0.1391 0.1391 0.1391  12 Ir 3.04-3.32, 3 Ho 3.38
2 Ho 0.8609 0.8609 0.8609  12 Ir 3.04-3.32, 3 Ho 3.38
3 Tm 0.0000 0.0000 0.0000  18 Ir 3.05-3.42
4 Ir 0.0826 0.5820 0.5820  7 Ir 2.64-2.70
5 Ir 0.3329 0.3329 0.3329  6 Ir 2.64-2.66
6 Ir 0.4180 0.4180 0.9174  7 Ir 2.64-2.70
7 Ir 0.4180 0.9174 0.4180  7 Ir 2.64-2.70
8 Ir 0.5000 0.5000 0.5000  6 Ir 2.70
9 Ir 0.5820 0.0826 0.5820  7 Ir 2.64-2.70
10 Ir 0.5820 0.5820 0.0826  7 Ir 2.64-2.70
11 Ir 0.6671 0.6671 0.6671  6 Ir 2.64-2.66
12 Ir 0.9174 0.4180 0.4180  7 Ir 2.64-2.70

---

| no. | total moment (μB/f.u.) |
| --- | --- |
| 1 | 0.000 |
| 2 | 0.000 |